A geometry-optimized PaSiPdO6 structure. Source: the Alexandria database, functional GGA-PBE.

Output
ΔE_f (raw) ... -1911 kJ/mol of formula units
Energy ... -7.741 eV per atom
Total magnetization ... 0.0 μB per formula unit
Theoretical density ... 7.10 g/cm³
Space group ... P4_2nm (102)

Unit cell a=4.8548 b=4.8548 c=9.1547 alpha=90.00 beta=90.00 gamma=90.00
Last column: nearest neighbours and their distance in Å.
Atoms (fractional coordinates):
O 0.6745 0.6745 0.6920  1 Si 1.77
O 0.7197 0.7197 0.3314  1 Si 1.92, 1 Pa 2.13, 1 Pd 2.15
O 0.2803 0.2803 0.3314  1 Si 1.92, 1 Pa 2.13, 1 Pd 2.15
O 0.3255 0.3255 0.6920  1 Si 1.77
O 0.2197 0.7803 0.8314  1 Si 1.92, 1 Pa 2.13, 1 Pd 2.15
O 0.7803 0.2197 0.8314  1 Si 1.92, 1 Pa 2.13, 1 Pd 2.15
O 0.6722 0.6722 0.9799  1 Si 1.79
O 0.8255 0.1745 0.1920  1 Si 1.77
O 0.8278 0.1722 0.4799  1 Si 1.79
O 0.1722 0.8278 0.4799  1 Si 1.79
O 0.1745 0.8255 0.1920  1 Si 1.77
O 0.3278 0.3278 0.9799  1 Si 1.79
Pd 0.5000 0.5000 0.1637  6 O 2.06-2.25
Pd 0.0000 0.0000 0.6637  6 O 2.06-2.25
Si 0.0000 0.0000 0.3336  6 O 1.77-1.92
Si 0.5000 0.5000 0.8336  6 O 1.77-1.92
Pa 0.5000 0.5000 0.4964  6 O 2.13-2.26
Pa 0.0000 0.0000 0.9964  6 O 2.13-2.26